1.
# NaInAgTe3

NaInAgTe3 after structural relaxation (PBE-GGA, the Alexandria database).

Cell: 7.302 4.321 12.695 Å, 90.00 106.64 90.00°
Element x y z (fractional)
Na 0.229 0.250 0.192
Na 0.771 0.750 0.808
In 0.252 0.250 0.833
In 0.748 0.750 0.167
Ag 0.150 0.750 0.599
Ag 0.850 0.250 0.401
Te 0.093 0.750 0.356
Te 0.213 0.750 0.967
Te 0.437 0.250 0.666
Te 0.563 0.750 0.334
Te 0.787 0.250 0.033
Te 0.907 0.250 0.644

Volume in Å³/atom: 32.0
Formation energy from raw total energies in meV per atom: -319
Total moment in μB per atom: 0.000
N(E_F) in states/eV per cell: 5.21

***

2.
# Na2In2AgTe4

Na2In2AgTe4 after structural relaxation (PBE-GGA, the Alexandria database).

Cell: 8.636 8.636 7.615 Å, 97.28 97.28 30.06°
Element x y z (fractional)
Na 0.121 0.121 0.056
Na 0.879 0.879 0.944
In 0.351 0.351 0.463
In 0.649 0.649 0.537
Ag 0.000 0.000 0.500
Te 0.226 0.226 0.742
Te 0.481 0.481 0.764
Te 0.519 0.519 0.236
Te 0.774 0.774 0.258

Volume in Å³/atom: 31.3
Formation energy from raw total energies in meV per atom: -374
Total moment in μB per atom: 0.000
N(E_F) in states/eV per cell: 3.79

***

3.
# NaThInAg

NaThInAg after structural relaxation (PBE-GGA, the Alexandria database).

Cell: 5.274 5.274 5.274 Å, 60.00 60.00 60.00°
Element x y z (fractional)
Na 0.000 0.000 0.000
Th 0.500 0.500 0.500
In 0.750 0.750 0.750
Ag 0.250 0.250 0.250

Volume in Å³/atom: 25.9
Total moment in μB per atom: 0.000
Formation energy from the elements in eV per atom: -0.035
N(E_F) in states/eV per cell: 2.56